Density functional theory data (PBE-GGA) for a relaxed structure of CsAg3PbSe4.

Results
SG: No. 215
Volume: 35.202 Å³ per atom
E_tot: -29.01 eV per formula unit

a b c (Å): 6.817 6.817 6.817
angles (deg): 90.00 90.00 90.00
Positions (direct):
1 Cs 0.000 0.000 0.000
2 Ag 0.000 0.500 0.500
3 Ag 0.500 0.000 0.500
4 Ag 0.500 0.500 0.000
5 Pb 0.500 0.500 0.500
6 Se 0.279 0.279 0.279
7 Se 0.279 0.721 0.721
8 Se 0.721 0.279 0.721
9 Se 0.721 0.721 0.279